The following is a DFT calculation (GGA-PBE) of an optimized crystal structure of La4Pr3Ho.

Cell lengths 13.0776, 13.0776, 6.3143 Å; angles 93.89, 93.89, 15.61 degrees
Last column: nearest neighbours and their distance in Å.
Atoms (fractional coordinates):
La: 0.1050 0.1050 0.2280  3 Pr 3.31-3.32, 4 La 3.46-3.55, 2 Ho 3.48
La: 0.2800 0.2800 0.7564  4 La 3.46-3.55, 1 Pr 3.51
La: 0.7200 0.7200 0.2436  4 La 3.46-3.55, 1 Pr 3.51
La: 0.8950 0.8950 0.7720  3 Pr 3.31-3.32, 4 La 3.46-3.55, 2 Ho 3.48
Pr: 0.0000 0.0000 0.5000  2 La 3.32, 2 Pr 3.55, 4 Ho 3.62
Pr: 0.1441 0.1441 0.7396  3 La 3.31-3.51, 2 Pr 3.55
Pr: 0.8559 0.8559 0.2604  3 La 3.31-3.51, 2 Pr 3.55
Ho: 0.5000 0.5000 0.0000  4 La 3.48, 2 Ho 3.55, 4 Pr 3.62

Properties
Energy of formation (eV/atom): 0.189
Density (g cm⁻³): 6.55
Symmetry: No. 12